1.
This record from the Open Quantum Materials Database describes a geometry-optimized Ir2F structure. The functional is PBE-GGA.

## Properties
Total energy ... -33.85 eV per cell
Total magnetization ... 2.94 μB/f.u.
Offset from the most stable computed form ... 0 meV/atom

a b c (Å): 5.141 5.141 5.141
angles (deg): 60.00 60.00 60.00
Last column: magnetic moment on the atom in μB.
Element x y z (fractional)
1 F 0.250 0.250 0.250  0.27
2 F 0.000 0.000 0.000  0.27
3 Ir 0.625 0.625 0.625  1.38
4 Ir 0.625 0.125 0.625  1.37
5 Ir 0.625 0.625 0.125  1.45
6 Ir 0.125 0.625 0.625  0.91



2.
This record from the Open Quantum Materials Database describes a geometry-optimized NpPaSi structure. The functional is PBE-GGA.

## Properties
Total energy ... -26.97 eV per cell
Total magnetization ... 4.27 μB/f.u.

a b c (Å): 4.588 4.588 4.588
angles (deg): 60.00 60.00 60.00
Element x y z (fractional)
1 Si 0.000 0.000 0.000
2 Np 0.250 0.250 0.250
3 Pa 0.750 0.750 0.750



3.
This record from the Open Quantum Materials Database describes a geometry-optimized HfCuTcPb structure. The functional is PBE-GGA.

## Properties
Total energy ... -25.99 eV per cell
Total magnetization ... 0.45 μB/f.u.
Offset from the most stable computed form ... 237 meV/atom

a b c (Å): 4.696 4.696 4.696
angles (deg): 60.00 60.00 60.00
Element x y z (fractional)
1 Cu 0.750 0.750 0.750
2 Hf 0.250 0.250 0.250
3 Pb 0.000 0.000 0.000
4 Tc 0.500 0.500 0.500



4.
This record from the Open Quantum Materials Database describes a geometry-optimized ZnOs structure. The functional is PBE-GGA.

## Properties
Total energy ... -48.91 eV per cell
DFT formation energy ... 132 meV/atom
Total magnetization ... 0.00 μB/f.u.

a b c (Å): 9.271 2.794 4.405
angles (deg): 90.00 90.00 90.00
Element x y z (fractional)
1 Os 0.251 0.000 0.500
2 Os 0.425 0.000 0.000
3 Os 0.491 0.500 0.500
4 Os 0.666 0.500 0.000
5 Zn 0.002 0.500 0.500
6 Zn 0.743 0.000 0.500
7 Zn 0.174 0.500 0.000
8 Zn 0.915 0.000 0.000



5.
This record from the Open Quantum Materials Database describes a geometry-optimized KNdNiTe3 structure. The functional is PBE-GGA.

## Properties
Total energy ... -52.30 eV per cell
Total magnetization ... 0.00 μB/f.u.
Offset from the most stable computed form ... 25 meV/atom

a b c (Å): 4.307 8.769 11.071
angles (deg): 90.00 90.00 75.78
Element x y z (fractional)
1 Te 0.622 0.757 0.096
2 Te 0.378 0.243 0.596
3 Te 0.378 0.243 0.904
4 Te 0.082 0.836 0.750
5 Te 0.918 0.164 0.250
6 Te 0.622 0.757 0.404
7 Ni 0.490 0.019 0.750
8 Ni 0.510 0.981 0.250
9 K 0.744 0.512 0.750
10 K 0.256 0.488 0.250
11 Nd 0.000 0.000 0.000
12 Nd 0.000 0.000 0.500



6.
This record from the Open Quantum Materials Database describes a geometry-optimized NaSrNdTe3 structure. The functional is PBE-GGA.

## Properties
Total energy ... -100.51 eV per cell
Total magnetization ... 0.00 μB/f.u.
Offset from the most stable computed form ... 81 meV/atom

a b c (Å): 11.824 4.624 14.968
angles (deg): 90.00 90.00 90.00
Element x y z (fractional)
1 Sr 0.275 0.750 0.993
2 Sr 0.725 0.250 0.007
3 Sr 0.775 0.750 0.507
4 Sr 0.225 0.250 0.493
5 Te 0.540 0.750 0.111
6 Te 0.077 0.250 0.896
7 Te 0.263 0.750 0.652
8 Te 0.737 0.250 0.348
9 Te 0.040 0.750 0.389
10 Te 0.577 0.250 0.604
11 Te 0.763 0.750 0.848
12 Te 0.237 0.250 0.152
13 Te 0.923 0.750 0.104
14 Te 0.460 0.250 0.889
15 Te 0.960 0.250 0.611
16 Te 0.423 0.750 0.396
17 Na 0.265 0.250 0.768
18 Na 0.735 0.750 0.232
19 Na 0.765 0.250 0.732
20 Na 0.235 0.750 0.268
21 Nd 0.483 0.250 0.257
22 Nd 0.017 0.750 0.757
23 Nd 0.517 0.750 0.743
24 Nd 0.983 0.250 0.243



7.
This record from the Open Quantum Materials Database describes a geometry-optimized LaHgNO structure. The functional is PBE-GGA.

## Properties
Total energy ... -45.39 eV per cell
Total magnetization ... 0.00 μB/f.u.
Offset from the most stable computed form ... 104 meV/atom

a b c (Å): 4.015 4.015 8.364
angles (deg): 90.00 90.00 90.00
Element x y z (fractional)
1 La 0.500 0.000 0.851
2 La 0.000 0.500 0.149
3 Hg 0.500 0.500 0.500
4 Hg 0.000 0.000 0.500
5 N 0.000 0.500 0.681
6 N 0.500 0.000 0.319
7 O 0.000 0.000 0.000
8 O 0.500 0.500 0.000



8.
This record from the Open Quantum Materials Database describes a geometry-optimized OsBrCl2O structure. The functional is PBE-GGA.

## Properties
Total energy ... -48.30 eV per cell
Total magnetization ... 0.70 μB/f.u.

a b c (Å): 6.678 6.678 11.147
angles (deg): 118.34 118.34 32.20
Last column: magnetic moment on the atom in μB.
Element x y z (fractional)
1 Cl 0.691 0.663 0.706  0.07
2 Cl 0.912 0.884 0.044  0.02
3 Cl 0.116 0.088 0.956  0.02
4 Cl 0.337 0.309 0.294  0.07
5 O 0.399 0.372 0.821  0.00
6 O 0.628 0.601 0.179  0.00
7 Os 0.131 0.103 0.183  0.31
8 Os 0.897 0.869 0.817  0.31
9 Br 0.125 0.097 0.399  0.20
10 Br 0.903 0.875 0.601  0.20



9.
This record from the Open Quantum Materials Database describes a geometry-optimized ZrZn2Sn structure. The functional is PBE-GGA.

## Properties
Total energy ... -16.40 eV per cell
Total magnetization ... 0.00 μB/f.u.

a b c (Å): 4.195 4.195 4.201
angles (deg): 90.00 90.00 90.00
Element x y z (fractional)
1 Zr 0.500 0.500 0.500
2 Zn 0.000 0.500 0.000
3 Zn 0.500 0.000 0.000
4 Sn 0.000 0.000 0.500



10.
This record from the Open Quantum Materials Database describes a geometry-optimized PmBiN2O structure. The functional is PBE-GGA.

## Properties
Total energy ... -266.36 eV per cell
Total magnetization ... 0.00 μB/f.u.

a b c (Å): 8.410 8.211 11.783
angles (deg): 90.00 133.51 90.00
Element x y z (fractional)
1 Bi 0.002 0.505 0.761
2 Bi 0.477 0.493 0.234
3 Bi 0.998 0.005 0.739
4 Bi 0.002 0.995 0.261
5 Bi 0.477 0.007 0.734
6 Bi 0.523 0.507 0.766
7 Bi 0.998 0.495 0.239
8 Bi 0.523 0.993 0.266
9 N 0.211 0.093 0.709
10 N 0.789 0.593 0.791
11 N 0.059 0.253 0.844
12 N 0.304 0.571 0.997
13 N 0.564 0.242 0.220
14 N 0.696 0.071 0.503
15 N 0.436 0.758 0.780
16 N 0.789 0.907 0.291
17 N 0.436 0.742 0.280
18 N 0.564 0.258 0.720
19 N 0.941 0.747 0.156
20 N 0.059 0.247 0.344
21 N 0.211 0.407 0.209
22 N 0.941 0.753 0.656
23 N 0.304 0.929 0.497
24 N 0.696 0.429 0.003
25 O 0.302 0.944 0.997
26 O 0.179 0.035 0.177
27 O 0.302 0.556 0.497
28 O 0.698 0.056 0.003
29 O 0.698 0.444 0.503
30 O 0.179 0.465 0.677
31 O 0.821 0.965 0.823
32 O 0.821 0.535 0.323
33 Pm 0.941 0.269 0.482
34 Pm 0.449 0.255 0.470
35 Pm 0.551 0.745 0.530
36 Pm 0.941 0.231 0.982
37 Pm 0.059 0.731 0.518
38 Pm 0.449 0.245 0.970
39 Pm 0.551 0.755 0.030
40 Pm 0.059 0.769 0.018



11.
This record from the Open Quantum Materials Database describes a geometry-optimized TbGd2Sn4Pb3 structure. The functional is PBE-GGA.

## Properties
Total energy ... -45.76 eV per cell
Total magnetization ... 0.00 μB/f.u.
Offset from the most stable computed form ... 1 meV/atom

a b c (Å): 13.098 13.098 4.627
angles (deg): 90.00 90.00 159.62
Element x y z (fractional)
1 Gd 0.811 0.189 0.000
2 Gd 0.189 0.811 0.000
3 Pb 0.402 0.598 0.000
4 Pb 0.500 0.500 0.500
5 Pb 0.598 0.402 0.000
6 Sn 0.902 0.098 0.500
7 Sn 0.098 0.902 0.500
8 Sn 0.709 0.291 0.500
9 Sn 0.291 0.709 0.500
10 Tb 0.000 0.000 0.000



12.
This record from the Open Quantum Materials Database describes a geometry-optimized ReSnAsO structure. The functional is PBE-GGA.

## Properties
Total energy ... -55.97 eV per cell
Total magnetization ... 0.00 μB/f.u.
Offset from the most stable computed form ... 0 meV/atom

a b c (Å): 3.745 3.745 10.787
angles (deg): 90.00 90.00 90.00
Element x y z (fractional)
1 Re 0.500 0.500 0.500
2 Re 0.000 0.000 0.500
3 O 0.000 0.000 0.000
4 O 0.500 0.500 0.000
5 Sn 0.500 0.000 0.111
6 Sn 0.000 0.500 0.889
7 As 0.000 0.500 0.334
8 As 0.500 0.000 0.666